The following is a DFT calculation (PBE with a Hubbard U) of a relaxed structure of PuUMnO6.

Cell lengths 5.486, 5.486, 9.753 Å; angles 90.00, 90.00, 120.00 degrees
Last column: magnetic moment on the atom in μB.
Fractional positions:
1 Pu 0.000 0.000 0.000  4.30
2 Pu 0.000 0.000 0.500  4.30
3 U 0.667 0.333 0.250  0.23
4 U 0.333 0.667 0.750  0.23
5 Mn 0.333 0.667 0.250  4.54
6 Mn 0.667 0.333 0.750  4.54
7 O 0.669 0.657 0.133  -0.04
8 O 0.987 0.331 0.133  -0.04
9 O 0.331 0.987 0.633  -0.04
10 O 0.013 0.669 0.867  -0.04
11 O 0.343 0.331 0.367  -0.04
12 O 0.987 0.657 0.367  -0.04
13 O 0.657 0.987 0.867  -0.04
14 O 0.669 0.013 0.367  -0.04
15 O 0.013 0.343 0.633  -0.04
16 O 0.343 0.013 0.133  -0.04
17 O 0.657 0.669 0.633  -0.04
18 O 0.331 0.343 0.867  -0.04

Properties
V = 254.25 Å³ per cell
DOS(E_F) = 0.59 states/eV per atom
Magnetization = 18.12 μB/cell
Final energy = -174.9 eV for the cell shown